Here is a geometry-optimized ScReAg2 structure from Alexandria via LeMat-Bulk. Energies are from GGA-PBEsol.

Lattice parameters (Å, degrees): 3.9642 3.9642 4.1817 90.00 90.00 90.00
Fractional coordinates of all 4 atoms:
Sc 0.0000 0.0000 0.0000
Re 0.5000 0.5000 0.0000
Ag 0.0000 0.5000 0.5000
Ag 0.5000 0.0000 0.5000

Values from the calculation:
- formation energy from the elements (meV/atom) = 258
- SG = P4/mmm
- volume (Å³ per cell) = 65.72